(1)
Density functional theory data (PBE) for Dy4Sb3O2 after structural relaxation.

a = 13.727 Å, b = 9.890 Å, c = 6.363 Å
α = 90.00°, β = 94.71°, γ = 90.00°
Space group C2/c (No. 15)
Asymmetric unit:
Dy: 0.123 0.204 0.015
Dy: 0.191 0.422 0.584
Sb: 0.000 0.476 0.250
Sb: 0.103 0.133 0.518
O: 0.221 0.376 0.925

Values from the calculation:
* calculated volume: 860.9 Å³ per cell
* formation energy (no corrections): -1894.2 meV/atom
* total magnetic moment: 0.00 μB per formula unit
* density: 8.1 g/cm³

(2)
Density functional theory data (PBE) for LiErAl after structural relaxation.

a = 4.843 Å, b = 8.402 Å, c = 5.938 Å
α = 90.00°, β = 90.00°, γ = 90.00°
Space group Cmcm (No. 63)
Asymmetric unit:
Li: 0.000 0.166 0.250
Er: 0.000 0.167 0.750
Al: 0.000 0.500 0.000

Values from the calculation:
* calculated volume: 241.6 Å³ per cell
* total magnetic moment: 0.00 μB per formula unit
* relative energy among the computed polymorphs: 15 meV per atom
* density: 5.5 g/cm³
* ΔE_f: -0.19 eV/atom